# Cd5Ag2Au5

Crystalline Cd5Ag2Au5 at its relaxed geometry (PBE, Alexandria via LeMat-Bulk).

Output
- Space group: C2/m (12)
- Formation energy: -124.9 kJ/mol of formula units
- Relative energy among the computed polymorphs: 30 meV per atom
- Total magnetization: 0.0 μB/cell

abc: 4.850 7.287 8.057
angles: 118.32 90.00 109.44
Sites, in units of the cell vectors:
Au: 0.759 0.518 0.778
Au: 0.923 0.846 0.600
Au: 0.000 0.000 0.000
Au: 0.241 0.482 0.222
Au: 0.077 0.154 0.400
Cd: 0.406 0.813 0.070
Cd: 0.500 0.000 0.500
Cd: 0.679 0.357 0.358
Cd: 0.594 0.187 0.930
Cd: 0.321 0.643 0.642
Ag: 0.161 0.323 0.810
Ag: 0.839 0.677 0.190